# 1
This record from Alexandria via LeMat-Bulk describes ZnRu2Au2 after structural relaxation. The functional is PBE.

Output
Spin magnetization = 0.204 μB per atom
Space group = No. 139
DFT total energy = -4.614 eV per atom
N(E_F) = 5.86 states/eV per cell

```
ZnRu2Au2
1.0
-1.0827 -2.5180 -2.5946
3.2460 0.5159 -1.8552
3.7538 -5.6386 1.1607
Ru Au Zn
2 2 1
Cartesian
1.5620 -1.8347 -1.6163 Ru
4.3551 -5.8060 -1.6728 Ru
4.0407 -3.0619 -1.4597 Au
1.8764 -4.5788 -1.8294 Au
0.0000 0.0000 0.0000 Zn
```


# 2
This record from Alexandria via LeMat-Bulk describes NaNbP2S after structural relaxation. The functional is PBE.

Output
Spin magnetization = 0.000 μB per atom
Space group = No. 123
ΔE_f (raw) = 1.43 eV/atom
DFT total energy = -3.841 eV per atom
N(E_F) = 6.85 states/eV per cell

```
NaNbP2S
1.0
4.6429 0.0000 0.0000
0.0000 4.6429 0.0000
0.0000 0.0000 4.6347
S Nb P Na
1 1 2 1
Cartesian
0.0000 0.0000 2.3174 S
2.3215 2.3215 2.3174 Nb
2.3215 0.0000 0.0000 P
0.0000 2.3215 0.0000 P
0.0000 0.0000 0.0000 Na
```


# 3
This record from Alexandria via LeMat-Bulk describes IrRuAu2 after structural relaxation. The functional is PBE.

Output
Spin magnetization = 0.000 μB per atom
Space group = No. 119
DFT total energy = -5.744 eV per atom
N(E_F) = 4.85 states/eV per cell

```
IrRuAu2
1.0
-0.3030 4.7945 0.9095
-1.1322 0.6840 4.7071
3.4691 -2.6895 -2.1537
Ru Au Ir
1 2 1
Cartesian
1.2242 2.4221 0.7821 Ru
0.8096 0.3669 2.6808 Au
0.0000 0.0000 0.0000 Au
-0.7176 2.7393 2.8083 Ir
```


# 4
This record from Alexandria via LeMat-Bulk describes Zr3SnTe8 after structural relaxation. The functional is PBE.

Output
Spin magnetization = 0.000 μB per atom
Space group = No. 186
ΔE_f (raw) = -0.62 eV/atom
DFT total energy = -5.187 eV per atom
N(E_F) = 12.97 states/eV per cell

```
Zr3SnTe8
1.0
-0.0515 8.0520 0.9175
-5.5020 -3.5713 -4.7594
-8.7169 -1.3166 11.0648
Zr Te Sn
6 16 2
Cartesian
-6.5046 -1.9040 -1.3657 Zr
-3.7822 -0.1369 0.9893 Zr
-7.2483 5.1462 7.9316 Zr
-9.9707 3.3792 5.5767 Zr
-6.5301 2.0801 -0.9117 Zr
-7.2228 1.1622 7.4777 Zr
-12.7472 -0.6581 5.0596 Te
-6.8731 -0.6429 5.2565 Te
-4.4971 0.1805 -1.8365 Te
-1.6796 1.7962 0.5938 Te
-1.7074 6.1471 1.0896 Te
-3.0039 -0.4537 3.8130 Te
-5.6864 1.8945 1.8815 Te
-9.8462 -2.5727 2.6847 Te
-10.1149 -2.7819 6.8806 Te
-4.6805 4.2173 -1.4822 Te
-7.3623 -1.1120 9.3454 Te
-9.8740 1.7782 3.1804 Te
-7.0387 3.3966 5.5882 Te
-3.0785 3.5873 4.1375 Te
-5.7108 5.7111 2.3164 Te
-10.1393 1.0347 7.3155 Te
-10.2219 2.9158 9.6287 Sn
-7.6802 -0.3003 2.2040 Sn
```


# 5
This record from Alexandria via LeMat-Bulk describes AsIr2Pb after structural relaxation. The functional is PBE.

Output
Spin magnetization = 0.000 μB per atom
Space group = No. 122
DFT total energy = -6.119 eV per atom
N(E_F) = 3.70 states/eV per cell

```
AsIr2Pb
1.0
5.8540 0.0000 0.0000
0.0000 5.8540 0.0000
2.9270 2.9270 5.7347
Ir As Pb
4 2 2
Cartesian
4.3905 4.6814 4.3010 Ir
4.0996 1.4635 1.4337 Ir
7.3175 7.0266 4.3010 Ir
1.7544 4.3905 1.4337 Ir
2.9270 5.8540 2.8674 As
2.9270 2.9270 0.0000 As
5.8540 2.9270 2.8674 Pb
0.0000 0.0000 0.0000 Pb
```


# 6
This record from Alexandria via LeMat-Bulk describes CaY2PdO after structural relaxation. The functional is PBE.

Output
Spin magnetization = 0.000 μB per atom
Space group = No. 123
ΔE_f (raw) = -1.35 eV/atom
DFT total energy = -6.371 eV per atom
N(E_F) = 3.99 states/eV per cell

```
CaY2PdO
1.0
4.7780 0.0000 0.0000
0.0000 4.7780 0.0000
0.0000 0.0000 4.6084
Ca Y O Pd
1 2 1 1
Cartesian
0.0000 0.0000 2.3042 Ca
2.3890 0.0000 0.0000 Y
0.0000 2.3890 0.0000 Y
0.0000 0.0000 0.0000 O
2.3890 2.3890 2.3042 Pd
```


# 7
This record from Alexandria via LeMat-Bulk describes NaYW3 after structural relaxation. The functional is PBE.

Output
Spin magnetization = 0.000 μB per atom
Space group = No. 221
DFT total energy = -6.368 eV per atom
N(E_F) = 6.96 states/eV per cell

```
NaYW3
1.0
-3.0017 -0.0454 -3.9169
3.8956 -0.5507 -2.9791
-0.4097 -4.9040 0.3708
W Na Y
3 1 1
Cartesian
-1.5009 -0.0227 -1.9584 W
-0.2048 -2.4520 0.1854 W
1.9478 -0.2753 -1.4895 W
0.2421 -2.7500 -3.2626 Na
0.0000 0.0000 0.0000 Y
```


# 8
This record from Alexandria via LeMat-Bulk describes MnAl2Mo after structural relaxation. The functional is PBE.

Output
Spin magnetization = 0.559 μB per atom
Space group = No. 12
DFT total energy = -6.919 eV per atom
N(E_F) = 3.47 states/eV per cell

```
MnAl2Mo
1.0
-2.6292 -3.0522 -2.2619
-2.2151 -4.0473 0.2395
-4.4468 1.6300 1.3846
Mn Al Mo
1 2 1
Cartesian
-6.9683 -4.1022 -0.4784 Mn
-4.6533 -2.6958 -0.3021 Al
-4.4390 1.5910 1.3678 Al
-2.3228 -1.3674 -0.1595 Mo
```


# 9
This record from Alexandria via LeMat-Bulk describes Ho2Er3Cd3 after structural relaxation. The functional is PBE.

Output
Spin magnetization = 0.000 μB per atom
Space group = No. 71
DFT total energy = -3.431 eV per atom
N(E_F) = 8.58 states/eV per cell

```
Ho2Er3Cd3
1.0
3.7090 0.0000 0.0000
0.0000 5.2918 0.0000
-1.8545 -2.6459 11.0068
Cd Er Ho
3 3 2
Cartesian
0.0000 0.0000 2.5685 Cd
1.8545 2.6459 8.4382 Cd
0.0000 2.6459 0.0000 Cd
1.8545 2.6459 2.7138 Er
1.8545 0.0000 0.0000 Er
0.0000 0.0000 8.2929 Er
1.8545 0.0000 5.1423 Ho
0.0000 2.6459 5.8645 Ho
```


# 10
This record from Alexandria via LeMat-Bulk describes Ba2Zn2Ag after structural relaxation. The functional is PBE.

Output
Spin magnetization = 0.000 μB per atom
Space group = No. 127
DFT total energy = -1.954 eV per atom
N(E_F) = 12.64 states/eV per cell

```
Ba2Zn2Ag
1.0
-6.3177 -4.6652 3.2549
1.6240 -6.1411 -5.6499
2.8793 -1.8892 2.8810
Zn Ba Ag
4 4 2
Cartesian
-1.0306 -7.3127 -3.7651 Zn
-4.6525 -7.8943 -0.5268 Zn
-3.6631 -3.4936 1.3701 Zn
-0.0412 -2.9120 -1.8683 Zn
-1.6091 -9.1369 -0.8844 Ba
-0.2052 -3.5585 1.3704 Ba
1.3569 -6.0751 -1.8410 Ba
-3.1712 -6.6203 2.3270 Ba
0.0000 0.0000 0.0000 Ag
-2.3468 -5.4031 -1.1975 Ag
```


# 11
This record from Alexandria via LeMat-Bulk describes Co2NiSb after structural relaxation. The functional is PBE.

Output
Spin magnetization = 0.690 μB per atom
Space group = No. 12
ΔE_f (raw) = 0.30 eV/atom
DFT total energy = -5.733 eV per atom
N(E_F) = 5.12 states/eV per cell

```
Co2NiSb
1.0
-1.2864 4.9043 -0.2420
-3.3496 -3.5774 -1.3223
-2.2421 0.3083 1.8610
Co Sb Ni
2 1 1
Cartesian
-2.3180 0.6635 -0.7821 Co
0.0000 0.0000 0.0000 Co
-2.7958 -1.6345 0.2694 Sb
-1.7642 2.6063 0.8095 Ni
```


# 12
This record from Alexandria via LeMat-Bulk describes ErHfZr2P4 after structural relaxation. The functional is PBE.

Output
Spin magnetization = 0.000 μB per atom
Space group = No. 10
DFT total energy = -8.031 eV per atom
N(E_F) = 2.93 states/eV per cell

```
ErHfZr2P4
1.0
-0.2145 2.4590 -2.8534
-5.7783 2.1110 2.2535
4.8127 3.5493 2.6970
Zr Hf P Er
2 1 4 1
Cartesian
-0.4828 2.8302 2.4753 Zr
2.2991 3.0042 -0.0782 Zr
0.0000 0.0000 0.0000 Hf
-3.1556 2.5056 2.3964 P
-0.8691 5.4892 2.3015 P
-0.3110 2.6301 -0.2044 P
2.1899 3.1548 2.5541 P
-2.9964 2.2850 -0.2999 Er
```


Copy entry 2 word for word.
This record from Alexandria via LeMat-Bulk describes NaNbP2S after structural relaxation. The functional is PBE.

Output
Spin magnetization = 0.000 μB per atom
Space group = No. 123
ΔE_f (raw) = 1.43 eV/atom
DFT total energy = -3.841 eV per atom
N(E_F) = 6.85 states/eV per cell

```
NaNbP2S
1.0
4.6429 0.0000 0.0000
0.0000 4.6429 0.0000
0.0000 0.0000 4.6347
S Nb P Na
1 1 2 1
Cartesian
0.0000 0.0000 2.3174 S
2.3215 2.3215 2.3174 Nb
2.3215 0.0000 0.0000 P
0.0000 2.3215 0.0000 P
0.0000 0.0000 0.0000 Na
```


Copy entry 1 word for word.
This record from Alexandria via LeMat-Bulk describes ZnRu2Au2 after structural relaxation. The functional is PBE.

Output
Spin magnetization = 0.204 μB per atom
Space group = No. 139
DFT total energy = -4.614 eV per atom
N(E_F) = 5.86 states/eV per cell

```
ZnRu2Au2
1.0
-1.0827 -2.5180 -2.5946
3.2460 0.5159 -1.8552
3.7538 -5.6386 1.1607
Ru Au Zn
2 2 1
Cartesian
1.5620 -1.8347 -1.6163 Ru
4.3551 -5.8060 -1.6728 Ru
4.0407 -3.0619 -1.4597 Au
1.8764 -4.5788 -1.8294 Au
0.0000 0.0000 0.0000 Zn
```


Which value of N(E_F) does entry 1 give?
5.86 states/eV per cell